[1]
Below is Be3Os at its PBEsol-relaxed geometry, with properties calculated at the SCAN level.

abc: 4.2788 4.2788 4.2788
angles: 90.00 90.00 90.00
Space group Pm-3n (No. 223)
Symmetry-distinct sites (fractional):
Be: 0.0000 0.2500 0.5000
Os: 0.0000 0.0000 0.0000

Values from the calculation:
Calculated total energy (eV for the cell shown): -170.3
Theoretical density (Mg/m³): 9.21
Energy of formation (eV/atom): -0.056



[2]
Below is SmMoClO4 at its PBEsol-relaxed geometry, with properties calculated at the SCAN level.

abc: 10.3075 7.3595 6.8673
angles: 90.00 107.01 90.00
Space group C2/m (No. 12)
Symmetry-distinct sites (fractional):
Sm: 0.2222 0.0000 0.1102
Mo: 0.1381 0.5000 0.2674
Cl: 0.0091 0.0000 0.7619
O: 0.0388 0.5000 0.7955
O: 0.1982 0.3135 0.1516
O: 0.2063 0.5000 0.5307

Values from the calculation:
Calculated total energy (eV for the cell shown): -525.4
Theoretical density (Mg/m³): 4.61



[3]
Below is TaCo3Tc at its PBEsol-relaxed geometry, with properties calculated at the SCAN level.

abc: 4.2377 4.2377 4.2377
angles: 90.00 90.00 90.00
Space group Pm-3m (No. 221)
Symmetry-distinct sites (fractional):
Ta: 0.0000 0.0000 0.0000
Co: 0.0000 0.5000 0.5000
Tc: 0.5000 0.5000 0.5000

Values from the calculation:
Calculated total energy (eV for the cell shown): -145.9
Theoretical density (Mg/m³): 9.94
Energy of formation (eV/atom): 1.534



[4]
Below is Li2CaZr at its PBEsol-relaxed geometry, with properties calculated at the SCAN level.

abc: 3.3229 5.3254 5.4743
angles: 90.00 90.00 90.00
Space group Pmmm (No. 47)
Symmetry-distinct sites (fractional):
Li: 0.0000 0.0000 0.0000
Li: 0.5000 0.0000 0.5000
Ca: 0.0000 0.5000 0.5000
Zr: 0.5000 0.5000 0.0000

Values from the calculation:
Calculated total energy (eV for the cell shown): -43.3
Theoretical density (Mg/m³): 2.49
Polymorph energy (0 for the lowest one) (eV per atom): 0.107
Energy of formation (eV/atom): 0.465



[5]
Below is ZnCrTe2 at its PBEsol-relaxed geometry, with properties calculated at the SCAN level.

abc: 3.9052 3.9052 11.9570
angles: 90.00 90.00 90.00
Space group I-4m2 (No. 119)
Symmetry-distinct sites (fractional):
Zn: 0.0000 0.0000 0.0000
Cr: 0.0000 0.5000 0.2500
Te: 0.0000 0.0000 0.5000
Te: 0.0000 0.5000 0.7500

Values from the calculation:
Calculated total energy (eV for the cell shown): -212.2
Theoretical density (Mg/m³): 6.79



[6]
Below is WAu at its PBEsol-relaxed geometry, with properties calculated at the SCAN level.

abc: 3.9045 3.9045 5.7050
angles: 90.00 90.00 120.00
Space group P6_3/mmc (No. 194)
Symmetry-distinct sites (fractional):
W: 0.3333 0.6667 0.2500
Au: 0.0000 0.0000 0.0000

Values from the calculation:
Calculated total energy (eV for the cell shown): -272.0
Theoretical density (Mg/m³): 16.79
Polymorph energy (0 for the lowest one) (eV per atom): 1.078
Energy of formation (eV/atom): 1.418



[7]
Below is Tl2CoBr at its PBEsol-relaxed geometry, with properties calculated at the SCAN level.

abc: 3.2630 3.7064 15.7433
angles: 90.00 90.00 90.00
Space group Imm2 (No. 44)
Symmetry-distinct sites (fractional):
Tl: 0.0000 0.0000 0.0000
Tl: 0.0000 0.5000 0.1678
Co: 0.0000 0.0000 0.4335
Br: 0.0000 0.5000 0.8228

Values from the calculation:
Calculated total energy (eV for the cell shown): -362.4
Theoretical density (Mg/m³): 9.55
Polymorph energy (0 for the lowest one) (eV per atom): 0.000



[8]
Below is SnH2Os at its PBEsol-relaxed geometry, with properties calculated at the SCAN level.

abc: 3.8933 3.8933 12.0388
angles: 90.00 90.00 90.00
Space group I4_1/amd (No. 141, origin choice 2)
Symmetry-distinct sites (fractional):
Sn: 0.0000 0.2500 0.3750
H: 0.0000 0.0000 0.0000
Os: 0.0000 0.2500 0.8750

Values from the calculation:
Calculated total energy (eV for the cell shown): -449.6
Theoretical density (Mg/m³): 11.32



[9]
Below is OsN3Cl at its PBEsol-relaxed geometry, with properties calculated at the SCAN level.

abc: 3.5994 3.5994 3.5994
angles: 90.00 90.00 90.00
Space group Pm-3m (No. 221)
Symmetry-distinct sites (fractional):
Os: 0.0000 0.0000 0.0000
N: 0.0000 0.5000 0.5000
Cl: 0.5000 0.5000 0.5000

Values from the calculation:
Calculated total energy (eV for the cell shown): -91.3
Theoretical density (Mg/m³): 9.53



[10]
Below is CoIr2Se at its PBEsol-relaxed geometry, with properties calculated at the SCAN level.

abc: 2.7846 2.7846 24.4864
angles: 90.00 90.00 120.00
Space group R3m (No. 160, hexagonal axes)
Symmetry-distinct sites (fractional):
Co: 0.0000 0.0000 0.0000
Ir: 0.0000 0.0000 0.5045
Ir: 0.0000 0.0000 0.7490
Se: 0.0000 0.0000 0.2615

Values from the calculation:
Calculated total energy (eV for the cell shown): -534.2
Theoretical density (Mg/m³): 15.82



[11]
Below is LaHfAs2 at its PBEsol-relaxed geometry, with properties calculated at the SCAN level.

abc: 7.4327 7.4327 7.0673
angles: 90.00 90.00 90.00
Space group I-42d (No. 122)
Symmetry-distinct sites (fractional):
La: 0.0000 0.0000 0.0000
Hf: 0.0000 0.0000 0.5000
As: 0.2114 0.7500 0.6250

Values from the calculation:
Calculated total energy (eV for the cell shown): -599.6
Theoretical density (Mg/m³): 7.95
Energy of formation (eV/atom): -0.938



[12]
Below is TaSiW4 at its PBEsol-relaxed geometry, with properties calculated at the SCAN level.

abc: 7.3609 7.3609 7.3609
angles: 90.00 90.00 90.00
Space group F-43m (No. 216)
Symmetry-distinct sites (fractional):
Ta: 0.0000 0.0000 0.0000
Si: 0.2500 0.2500 0.2500
W: 0.1248 0.1248 0.6248

Values from the calculation:
Calculated total energy (eV for the cell shown): -1411.9
Theoretical density (Mg/m³): 15.73



[13]
Below is AsIr2O at its PBEsol-relaxed geometry, with properties calculated at the SCAN level.

abc: 5.8401 5.8401 5.8401
angles: 90.00 90.00 90.00
Space group Fm-3m (No. 225)
Symmetry-distinct sites (fractional):
As: 0.0000 0.0000 0.0000
Ir: 0.2500 0.2500 0.2500
O: 0.0000 0.0000 0.5000

Values from the calculation:
Calculated total energy (eV for the cell shown): -668.5
Theoretical density (Mg/m³): 15.85



[14]
Below is Ni2BiS at its PBEsol-relaxed geometry, with properties calculated at the SCAN level.

abc: 4.5656 4.5656 13.3934
angles: 90.00 90.00 90.00
Space group I-42d (No. 122)
Symmetry-distinct sites (fractional):
Ni: 0.1132 0.2500 0.1250
Bi: 0.0000 0.0000 0.5000
S: 0.0000 0.0000 0.0000

Values from the calculation:
Calculated total energy (eV for the cell shown): -485.0
Theoretical density (Mg/m³): 8.53
Polymorph energy (0 for the lowest one) (eV per atom): 0.000



[15]
Below is BaPF2 at its PBEsol-relaxed geometry, with properties calculated at the SCAN level.

abc: 4.3725 4.3725 12.7535
angles: 90.00 90.00 120.00
Space group R-3m (No. 166, hexagonal axes)
Symmetry-distinct sites (fractional):
Ba: 0.0000 0.0000 0.0000
P: 0.0000 0.0000 0.5000
F: 0.0000 0.0000 0.2151

Values from the calculation:
Calculated total energy (eV for the cell shown): -193.2
Theoretical density (Mg/m³): 4.87
Polymorph energy (0 for the lowest one) (eV per atom): 0.393



[16]
Below is Li2HfIrPb at its PBEsol-relaxed geometry, with properties calculated at the SCAN level.

abc: 5.1538 5.1538 4.6787
angles: 90.00 90.00 90.00
Space group P4/mmm (No. 123)
Symmetry-distinct sites (fractional):
Li: 0.0000 0.5000 0.0000
Hf: 0.0000 0.0000 0.0000
Ir: 0.0000 0.0000 0.5000
Pb: 0.5000 0.5000 0.5000

Values from the calculation:
Calculated total energy (eV for the cell shown): -210.1
Theoretical density (Mg/m³): 7.91
Energy of formation (eV/atom): 0.841



[17]
Below is Ru3Cl at its PBEsol-relaxed geometry, with properties calculated at the SCAN level.

abc: 2.7610 2.7610 24.6927
angles: 90.00 90.00 120.00
Space group R-3m (No. 166, hexagonal axes)
Symmetry-distinct sites (fractional):
Ru: 0.0000 0.0000 0.0000
Ru: 0.0000 0.0000 0.2488
Cl: 0.0000 0.0000 0.5000

Values from the calculation:
Calculated total energy (eV for the cell shown): -332.2
Theoretical density (Mg/m³): 10.35
Polymorph energy (0 for the lowest one) (eV per atom): 0.000



[18]
Below is Rb3SbF at its PBEsol-relaxed geometry, with properties calculated at the SCAN level.

abc: 5.5397 5.5397 5.5397
angles: 90.00 90.00 90.00
Space group Pm-3m (No. 221)
Symmetry-distinct sites (fractional):
Rb: 0.0000 0.0000 0.5000
Sb: 0.5000 0.5000 0.5000
F: 0.0000 0.0000 0.0000

Values from the calculation:
Calculated total energy (eV for the cell shown): -109.8
Theoretical density (Mg/m³): 3.88



[19]
Below is Cr2SbAu at its PBEsol-relaxed geometry, with properties calculated at the SCAN level.

abc: 9.1872 3.1726 4.6785
angles: 90.00 102.93 90.00
Space group Cm (No. 8)
Symmetry-distinct sites (fractional):
Cr: 0.0000 0.0000 0.0000
Cr: 0.2209 0.5000 0.2124
Sb: 0.4799 0.0000 0.4760
Au: 0.2471 0.0000 0.7629

Values from the calculation:
Calculated total energy (eV for the cell shown): -286.2
Theoretical density (Mg/m³): 10.56



[20]
Below is CaHfTa2Os at its PBEsol-relaxed geometry, with properties calculated at the SCAN level.

abc: 4.8265 4.8265 5.1018
angles: 90.00 90.00 90.00
Space group P4/mmm (No. 123)
Symmetry-distinct sites (fractional):
Ca: 0.0000 0.0000 0.0000
Hf: 0.5000 0.5000 0.0000
Ta: 0.0000 0.5000 0.5000
Os: 0.0000 0.0000 0.5000

Values from the calculation:
Calculated total energy (eV for the cell shown): -272.2
Theoretical density (Mg/m³): 10.77
Energy of formation (eV/atom): 1.043



[21]
Below is Y2Fe17N3 at its PBEsol-relaxed geometry, with properties calculated at the SCAN level.

abc: 8.4629 8.4629 8.2074
angles: 90.00 90.00 120.00
Space group P6_3/mmc (No. 194)
Symmetry-distinct sites (fractional):
Y: 0.0000 0.0000 0.2500
Y: 0.3333 0.6667 0.2500
Fe: 0.0000 0.5000 0.0000
Fe: 0.0540 0.3808 0.7500
Fe: 0.1690 0.3379 0.0204
Fe: 0.3333 0.6667 0.6083
N: 0.1646 0.3291 0.2500

Values from the calculation:
Calculated total energy (eV for the cell shown): -796.5
Theoretical density (Mg/m³): 7.63



[22]
Below is SrH3Pb at its PBEsol-relaxed geometry, with properties calculated at the SCAN level.

abc: 4.3847 4.3847 4.3847
angles: 90.00 90.00 90.00
Space group Pm-3m (No. 221)
Symmetry-distinct sites (fractional):
Sr: 0.0000 0.0000 0.0000
H: 0.0000 0.0000 0.5000
Pb: 0.5000 0.5000 0.5000

Values from the calculation:
Calculated total energy (eV for the cell shown): -107.7
Theoretical density (Mg/m³): 5.87



[23]
Below is ScAlRu2 at its PBEsol-relaxed geometry, with properties calculated at the SCAN level.

abc: 3.0525 4.2162 9.1586
angles: 90.00 90.00 90.00
Space group Imm2 (No. 44)
Symmetry-distinct sites (fractional):
Sc: 0.0000 0.0000 0.0000
Al: 0.0000 0.5000 0.7723
Ru: 0.0000 0.0000 0.5093
Ru: 0.0000 0.5000 0.2444

Values from the calculation:
Calculated total energy (eV for the cell shown): -188.4
Theoretical density (Mg/m³): 7.72
Energy of formation (eV/atom): -0.643



[24]
Below is CuSiB2 at its PBEsol-relaxed geometry, with properties calculated at the SCAN level.

abc: 4.7040 4.7040 9.0330
angles: 90.00 90.00 90.00
Space group I-42d (No. 122)
Symmetry-distinct sites (fractional):
Cu: 0.0000 0.0000 0.0000
Si: 0.0000 0.0000 0.5000
B: 0.2498 0.2500 0.1250

Values from the calculation:
Calculated total energy (eV for the cell shown): -146.8
Theoretical density (Mg/m³): 3.76



[25]
Below is As2IrSeS at its PBEsol-relaxed geometry, with properties calculated at the SCAN level.

abc: 4.5371 4.5371 4.6303
angles: 90.00 90.00 90.00
Space group P4/mmm (No. 123)
Symmetry-distinct sites (fractional):
As: 0.0000 0.5000 0.0000
Ir: 0.0000 0.0000 0.5000
Se: 0.5000 0.5000 0.5000
S: 0.5000 0.5000 0.0000

Values from the calculation:
Calculated total energy (eV for the cell shown): -134.5
Theoretical density (Mg/m³): 7.89